## A
# LiTiZn

A geometry-optimized LiTiZn structure (PBE, Alexandria).

Crystal system: trigonal
Calculated volume in Å³ per atom: 16.0
Space group: P3m1, No. 156

Lattice parameters (Å, degrees): 2.7353 2.7353 7.3858 90.00 90.00 120.00
Closest atoms and distances in Å follow each position.
Sites, in units of the cell vectors:
Li: 0.0000 0.0000 0.0000  6 Li 2.74, 3 Zn 2.83
Ti: 0.6667 0.3333 0.3572  6 Ti 2.74, 3 Zn 2.88
Zn: 0.3333 0.6667 0.6828  6 Zn 2.74, 3 Li 2.83, 3 Ti 2.88

## B
# LiTiZn

A geometry-optimized LiTiZn structure (PBE, Alexandria).

Crystal system: orthorhombic
Calculated volume in Å³ per atom: 16.3
Space group: Fmmm, No. 69

Lattice parameters (Å, degrees): 6.7118 6.0839 4.3830 77.90 62.42 39.68
Closest atoms and distances in Å follow each position.
Sites, in units of the cell vectors:
Li: 0.2500 0.2500 0.2500  2 Li 2.36
Li: 0.7500 0.7500 0.7500  2 Li 2.36
Ti: 0.1470 0.8530 0.1470  1 Ti 2.17
Ti: 0.8530 0.1470 0.8530  1 Ti 2.17
Zn: 0.3894 0.3894 0.6106  1 Zn 2.48, 4 Li 2.69
Zn: 0.6106 0.6106 0.3894  1 Zn 2.48, 4 Li 2.69

Stability summary - winner: A; margin: 11.5 kJ/mol of atoms.

## A
# Li2ZrTi

A geometry-optimized Li2ZrTi structure (PBE, Alexandria).

Crystal system: cubic
Calculated volume in Å³ per atom: 17.4
Space group: Fm-3m, No. 225

Lattice parameters (Å, degrees): 4.6186 4.6186 4.6186 60.00 60.00 60.00
Closest atoms and distances in Å follow each position.
Sites, in units of the cell vectors:
Li: 0.2500 0.2500 0.2500  4 Zr 2.83, 4 Ti 2.83
Li: 0.7500 0.7500 0.7500  4 Zr 2.83, 4 Ti 2.83
Zr: 0.0000 0.0000 0.0000  8 Li 2.83
Ti: 0.5000 0.5000 0.5000  8 Li 2.83

## B
# Li2ZrTi

A geometry-optimized Li2ZrTi structure (PBE, Alexandria).

Crystal system: tetragonal
Calculated volume in Å³ per atom: 18.1
Space group: I-42d, No. 122

Lattice parameters (Å, degrees): 5.8871 5.8871 5.8871 101.12 101.12 127.90
Closest atoms and distances in Å follow each position.
Sites, in units of the cell vectors:
Li: 0.1109 0.6250 0.9859  2 Li 2.59, 2 Ti 2.65, 2 Zr 2.80
Li: 0.3750 0.3609 0.4859  2 Li 2.59, 2 Ti 2.65, 2 Zr 2.80
Li: 0.6391 0.1250 0.0141  2 Li 2.59, 2 Ti 2.65, 2 Zr 2.80
Li: 0.8750 0.8891 0.5141  2 Li 2.59, 2 Ti 2.65, 2 Zr 2.80
Zr: 0.2500 0.7500 0.5000  2 Ti 2.59, 4 Li 2.80
Zr: 0.5000 0.5000 0.0000  2 Ti 2.59, 4 Li 2.80
Ti: 0.0000 0.0000 0.0000  2 Zr 2.59, 4 Li 2.65
Ti: 0.7500 0.2500 0.5000  2 Zr 2.59, 4 Li 2.65

Stability summary - winner: A; margin: 9.9 kJ/mol of atoms.

## A
# LiZrTi2

A geometry-optimized LiZrTi2 structure (PBE, Alexandria).

Crystal system: tetragonal
Calculated volume in Å³ per atom: 18.5
Space group: I-42d, No. 122

Lattice parameters (Å, degrees): 10.2042 10.2042 10.2042 158.07 158.07 31.20
Closest atoms and distances in Å follow each position.
Sites, in units of the cell vectors:
Li: 0.0000 0.0000 0.0000  4 Zr 2.74, 4 Ti 2.81
Li: 0.7500 0.2500 0.5000  4 Zr 2.74, 4 Ti 2.81
Zr: 0.2500 0.7500 0.5000  4 Li 2.74, 4 Ti 2.81
Zr: 0.5000 0.5000 0.0000  4 Li 2.74, 4 Ti 2.81
Ti: 0.1247 0.6250 0.9997  4 Ti 2.74-2.75, 2 Li 2.81, 2 Zr 2.81
Ti: 0.3750 0.3747 0.4997  4 Ti 2.74-2.75, 2 Li 2.81, 2 Zr 2.81
Ti: 0.6253 0.1250 0.0003  4 Ti 2.74-2.75, 2 Li 2.81, 2 Zr 2.81
Ti: 0.8750 0.8753 0.5003  4 Ti 2.74-2.75, 2 Li 2.81, 2 Zr 2.81

## B
# LiZrTi2

A geometry-optimized LiZrTi2 structure (PBE, Alexandria).

Crystal system: cubic
Calculated volume in Å³ per atom: 18.1
Space group: Fm-3m, No. 225

Lattice parameters (Å, degrees): 4.6751 4.6751 4.6751 60.00 60.00 60.00
Closest atoms and distances in Å follow each position.
Sites, in units of the cell vectors:
Li: 0.0000 0.0000 0.0000  8 Ti 2.86
Zr: 0.5000 0.5000 0.5000  8 Ti 2.86
Ti: 0.2500 0.2500 0.2500  4 Zr 2.86, 4 Li 2.86
Ti: 0.7500 0.7500 0.7500  4 Zr 2.86, 4 Li 2.86

Stability summary - winner: B; margin: 14.0 kJ/mol of atoms.

## A
# LiTl4

A geometry-optimized LiTl4 structure (PBE, Alexandria).

Crystal system: tetragonal
Calculated volume in Å³ per atom: 26.9
Space group: I4/mmm, No. 139

Lattice parameters (Å, degrees): 11.4705 11.4705 11.4705 162.63 162.63 24.66
Closest atoms and distances in Å follow each position.
Sites, in units of the cell vectors:
Li: 0.0000 0.0000 0.0000  8 Tl 3.04
Tl: 0.1902 0.1902 0.0000  12 Tl 3.46-3.63
Tl: 0.4195 0.4195 0.0000  4 Li 3.04
Tl: 0.5805 0.5805 0.0000  4 Li 3.04
Tl: 0.8098 0.8098 0.0000  12 Tl 3.46-3.63

## B
# LiTl4

A geometry-optimized LiTl4 structure (PBE, Alexandria).

Crystal system: cubic
Calculated volume in Å³ per atom: 29.1
Space group: Pm-3m, No. 221

Lattice parameters (Å, degrees): 5.2605 5.2605 5.2605 90.00 90.00 90.00
Closest atoms and distances in Å follow each position.
Sites, in units of the cell vectors:
Li: 0.0000 0.0000 0.0000  6 Tl 2.63
Tl: 0.0000 0.0000 0.5000  2 Li 2.63
Tl: 0.0000 0.5000 0.0000  2 Li 2.63
Tl: 0.5000 0.0000 0.0000  2 Li 2.63
Tl: 0.5000 0.5000 0.5000  12 Tl 3.72

Stability summary - winner: A; margin: 11.7 kJ/mol of atoms.

## A
# Li3Tl5

A geometry-optimized Li3Tl5 structure (PBE, Alexandria).

Crystal system: tetragonal
Calculated volume in Å³ per atom: 23.7
Space group: P4/mmm, No. 123

Lattice parameters (Å, degrees): 3.5952 3.5952 14.6959 90.00 90.00 90.00
Closest atoms and distances in Å follow each position.
Sites, in units of the cell vectors:
Li: 0.0000 0.0000 0.0000  8 Tl 3.10
Li: 0.5000 0.5000 0.3818  8 Tl 3.04-3.08
Li: 0.5000 0.5000 0.6182  8 Tl 3.04-3.08
Tl: 0.0000 0.0000 0.2678  4 Li 3.04, 4 Tl 3.34
Tl: 0.0000 0.0000 0.5000  8 Li 3.08, 2 Tl 3.41
Tl: 0.0000 0.0000 0.7322  4 Li 3.04, 4 Tl 3.34
Tl: 0.5000 0.5000 0.1205  4 Li 3.10, 4 Tl 3.34
Tl: 0.5000 0.5000 0.8795  4 Li 3.10, 4 Tl 3.34

## B
# Li3Tl5

A geometry-optimized Li3Tl5 structure (PBE, Alexandria).

Crystal system: hexagonal
Calculated volume in Å³ per atom: 24.2
Space group: P6_3/mcm, No. 193

Lattice parameters (Å, degrees): 8.4004 8.4004 6.3357 90.00 90.00 120.00
Closest atoms and distances in Å follow each position.
Sites, in units of the cell vectors:
Li: 0.0000 0.4035 0.2500  7 Tl 2.95-3.01
Li: 0.0000 0.5965 0.7500  7 Tl 2.95-3.01
Li: 0.4035 0.0000 0.2500  7 Tl 2.95-3.01
Li: 0.4035 0.4035 0.7500  7 Tl 2.95-3.01
Li: 0.5965 0.0000 0.7500  7 Tl 2.95-3.01
Li: 0.5965 0.5965 0.2500  7 Tl 2.95-3.01
Tl: 0.0000 0.2389 0.7500  3 Li 2.95-3.00
Tl: 0.0000 0.7611 0.2500  3 Li 2.95-3.00
Tl: 0.2389 0.0000 0.7500  3 Li 2.95-3.00
Tl: 0.2389 0.2389 0.2500  3 Li 2.95-3.00
Tl: 0.3333 0.6667 0.0000  6 Li 3.01, 2 Tl 3.17
Tl: 0.3333 0.6667 0.5000  6 Li 3.01, 2 Tl 3.17
Tl: 0.6667 0.3333 0.0000  6 Li 3.01, 2 Tl 3.17
Tl: 0.6667 0.3333 0.5000  6 Li 3.01, 2 Tl 3.17
Tl: 0.7611 0.0000 0.2500  3 Li 2.95-3.00
Tl: 0.7611 0.7611 0.7500  3 Li 2.95-3.00

Stability summary - winner: A; margin: 1.9 kJ/mol of atoms.